Below is a PBEsol-optimized structure of ScB3Ir, with properties calculated at the meta-GGA SCAN level.

```
ScB3Ir
1.0
3.909 0.000 0.000
0.000 3.909 0.000
0.000 0.000 3.909
Sc B Ir
1 3 1
direct
0.000 0.000 0.000 Sc
0.000 0.500 0.000 B
0.000 0.000 0.500 B
0.500 0.000 0.000 B
0.500 0.500 0.500 Ir
```

Summary:
* space-group type: Pm-3m (221)
* E_form: 2.409 eV per atom
* crystal system: cubic


Below is a PBEsol-optimized structure of LaFeTe2, with properties calculated at the meta-GGA SCAN level.

```
LaFeTe2
1.0
-1.116 -2.539 -2.453
3.134 1.252 -1.522
3.849 -5.211 3.642
Fe La Te
1 1 2
direct
0.500 0.500 0.500 Fe
0.500 0.500 0.000 La
0.000 0.000 0.279 Te
0.000 0.000 0.721 Te
```

Summary:
* space-group type: Cmmm (65)
* crystal system: orthorhombic
* ΔE_f (raw): -497 meV per atom


Below is a PBEsol-optimized structure of DyTmCd2, with properties calculated at the meta-GGA SCAN level.

```
DyTmCd2
1.0
5.165 0.000 0.000
2.582 4.473 0.000
2.582 1.491 4.217
Tm Dy Cd
1 1 2
direct
0.000 0.000 0.000 Tm
0.500 0.500 0.500 Dy
0.750 0.750 0.750 Cd
0.250 0.250 0.250 Cd
```

Summary:
* space-group type: Fm-3m (225)
* E_form: -0.427 eV per atom
* crystal system: cubic


Below is a PBEsol-optimized structure of Li2SmIn, with properties calculated at the meta-GGA SCAN level.

```
Li2SmIn
1.0
-0.960 -2.021 4.293
3.305 0.139 3.535
-0.727 2.797 3.884
In Sm Li
1 1 2
direct
0.500 0.500 0.500 In
0.000 0.000 0.000 Sm
0.250 0.250 0.250 Li
0.750 0.750 0.750 Li
```

Summary:
* space-group type: Fm-3m (225)
* E_form: -0.404 eV per atom
* crystal system: cubic


Below is a PBEsol-optimized structure of Nb3CrIn, with properties calculated at the meta-GGA SCAN level.

```
Nb3CrIn
1.0
-3.534 -2.495 -1.549
2.752 -3.659 -0.386
-1.024 -1.225 4.309
Cr Nb In
1 3 1
direct
0.000 0.000 0.000 Cr
0.000 0.500 0.000 Nb
0.000 0.000 0.500 Nb
0.500 0.000 0.000 Nb
0.500 0.500 0.500 In
```

Summary:
* space-group type: Pm-3m (221)
* E_form: 0.631 eV per atom
* crystal system: cubic


Below is a PBEsol-optimized structure of RbBeOF2, with properties calculated at the meta-GGA SCAN level.

```
RbBeOF2
1.0
-2.456 1.144 3.170
1.311 -3.906 2.425
3.635 2.425 1.941
Be O Rb F
1 1 1 2
direct
0.500 0.500 0.500 Be
0.500 0.000 0.000 O
0.000 0.000 0.000 Rb
0.000 0.000 0.500 F
0.000 0.500 0.000 F
```

Summary:
* space-group type: P4/mmm (123)
* crystal system: tetragonal
* ΔE_f (raw): 128 meV per atom


Below is a PBEsol-optimized structure of NbZn2P2, with properties calculated at the meta-GGA SCAN level.

```
NbZn2P2
1.0
-2.649 -1.743 3.256
2.224 -3.213 -3.083
3.543 -2.331 1.635
P Nb Zn
2 1 2
direct
0.750 0.500 0.750 P
0.250 0.500 0.250 P
0.000 0.000 0.000 Nb
0.650 0.299 0.350 Zn
0.350 0.701 0.650 Zn
```

Summary:
* space-group type: I4/mmm (139)
* E_form: 0.329 eV per atom
* crystal system: tetragonal


Below is a PBEsol-optimized structure of BaSr2Li, with properties calculated at the meta-GGA SCAN level.

```
BaSr2Li
1.0
-1.592 -1.660 3.682
-2.342 -5.159 -3.338
7.600 0.209 0.821
Sr Ba Li
2 1 1
direct
0.712 0.712 0.425 Sr
0.288 0.288 0.575 Sr
0.500 0.000 0.000 Ba
0.000 0.500 0.000 Li
```

Summary:
* space-group type: Immm (71)
* E_form: 0.023 eV per atom
* crystal system: orthorhombic


Below is a PBEsol-optimized structure of CaTaBr4, with properties calculated at the meta-GGA SCAN level.

```
CaTaBr4
1.0
6.143 0.000 0.000
3.071 5.320 0.000
3.071 1.773 5.016
Br Ca Ta
4 1 1
direct
0.375 0.375 0.375 Br
0.375 0.375 0.876 Br
0.876 0.375 0.375 Br
0.375 0.876 0.375 Br
0.750 0.750 0.750 Ca
0.000 0.000 0.000 Ta
```

Summary:
* space-group type: F-43m (216)
* crystal system: cubic
* ΔE_f (raw): 623 meV per atom


Below is a PBEsol-optimized structure of TaBeW4, with properties calculated at the meta-GGA SCAN level.

```
TaBeW4
1.0
5.191 0.000 0.000
2.595 4.495 0.000
2.595 1.498 4.238
Be Ta W
1 1 4
direct
0.750 0.750 0.750 Be
0.000 0.000 0.000 Ta
0.376 0.376 0.376 W
0.376 0.376 0.873 W
0.873 0.376 0.376 W
0.376 0.873 0.376 W
```

Summary:
* space-group type: F-43m (216)
* E_form: 0.463 eV per atom
* crystal system: cubic


Below is a PBEsol-optimized structure of Co3OF5, with properties calculated at the meta-GGA SCAN level.

```
Co3OF5
1.0
-0.380 -3.964 2.332
0.514 -2.803 -4.681
7.398 0.172 1.498
Co O F
6 2 10
direct
0.985 0.751 0.028 Co
0.985 0.055 0.320 Co
0.020 0.417 0.666 Co
0.485 0.945 0.680 Co
0.520 0.583 0.334 Co
0.485 0.249 0.972 Co
0.283 0.235 0.755 O
0.783 0.765 0.245 O
0.302 0.876 0.438 F
0.303 0.547 0.102 F
0.199 0.720 0.781 F
0.211 0.050 0.097 F
0.213 0.381 0.423 F
0.802 0.124 0.562 F
0.803 0.453 0.898 F
0.699 0.280 0.219 F
0.711 0.950 0.903 F
0.713 0.619 0.577 F
```

Summary:
* space-group type: P2_1 (4)
* crystal system: monoclinic
* ΔE_f (raw): -1953 meV per atom


Below is a PBEsol-optimized structure of NaSmTiO4, with properties calculated at the meta-GGA SCAN level.

```
NaSmTiO4
1.0
3.696 0.000 0.000
0.000 3.696 0.000
0.000 0.000 12.875
Na Sm Ti O
2 2 2 8
direct
0.500 0.000 0.583 Na
0.000 0.500 0.417 Na
0.000 0.500 0.107 Sm
0.500 0.000 0.893 Sm
0.500 0.000 0.268 Ti
0.000 0.500 0.732 Ti
0.000 0.500 0.931 O
0.500 0.000 0.069 O
0.000 0.500 0.596 O
0.500 0.000 0.404 O
0.000 0.000 0.229 O
0.500 0.500 0.229 O
0.000 0.000 0.771 O
0.500 0.500 0.771 O
```

Summary:
* space-group type: P4/nmm (129)
* crystal system: tetragonal
* ΔE_f (raw): -3254 meV per atom


Below is a PBEsol-optimized structure of ScPOs, with properties calculated at the meta-GGA SCAN level.

```
ScPOs
1.0
4.165 0.000 0.000
2.082 3.607 0.000
2.082 1.202 3.400
Os P Sc
1 1 1
direct
0.250 0.250 0.250 Os
0.000 0.000 0.000 P
0.500 0.500 0.500 Sc
```

Summary:
* space-group type: F-43m (216)
* E_form: -0.349 eV per atom
* crystal system: cubic


Below is a PBEsol-optimized structure of HfAl2TcBi, with properties calculated at the meta-GGA SCAN level.

```
HfAl2TcBi
1.0
5.100 0.000 0.000
0.000 5.100 0.000
0.000 0.000 5.359
Al Hf Bi Tc
2 1 1 1
direct
0.000 0.500 0.000 Al
0.500 0.000 0.000 Al
0.000 0.000 0.500 Hf
0.000 0.000 0.000 Bi
0.500 0.500 0.500 Tc
```

Summary:
* space-group type: P4/mmm (123)
* E_form: 1.869 eV per atom
* crystal system: tetragonal


Below is a PBEsol-optimized structure of Cd2IrAu, with properties calculated at the meta-GGA SCAN level.

```
Cd2IrAu
1.0
2.994 0.000 0.000
0.000 4.826 -0.306
-1.497 -1.746 4.877
Ir Au Cd
1 1 2
direct
0.506 0.427 0.013 Ir
0.239 0.814 0.478 Au
0.992 0.929 0.985 Cd
0.763 0.329 0.525 Cd
```

Summary:
* space-group type: Cm (8)
* E_form: 0.074 eV per atom
* crystal system: monoclinic


Below is a PBEsol-optimized structure of BaMgMoF7, with properties calculated at the meta-GGA SCAN level.

```
BaMgMoF7
1.0
-3.770 3.795 -1.634
-3.337 -6.650 -6.268
-6.381 -3.347 6.948
Ba Mg Mo F
4 4 4 28
direct
0.265 0.498 0.675 Ba
0.735 0.002 0.175 Ba
0.735 0.502 0.325 Ba
0.265 0.998 0.825 Ba
0.687 0.809 0.607 Mg
0.313 0.691 0.107 Mg
0.687 0.309 0.893 Mg
0.313 0.191 0.393 Mg
0.194 0.816 0.388 Mo
0.806 0.184 0.612 Mo
0.194 0.316 0.112 Mo
0.806 0.684 0.888 Mo
0.128 0.123 0.547 F
0.368 0.376 0.941 F
0.488 0.751 0.283 F
0.512 0.249 0.717 F
0.896 0.373 0.542 F
0.263 0.507 0.197 F
0.026 0.753 0.214 F
0.104 0.127 0.042 F
0.368 0.876 0.559 F
0.512 0.749 0.783 F
0.128 0.623 0.953 F
0.872 0.877 0.453 F
0.974 0.747 0.714 F
0.398 0.870 0.039 F
0.104 0.627 0.458 F
0.896 0.873 0.958 F
0.974 0.247 0.786 F
0.872 0.377 0.047 F
0.602 0.630 0.539 F
0.632 0.624 0.059 F
0.602 0.130 0.961 F
0.026 0.253 0.286 F
0.398 0.370 0.461 F
0.737 0.993 0.697 F
0.737 0.493 0.803 F
0.263 0.007 0.303 F
0.632 0.124 0.441 F
0.488 0.251 0.217 F
```

Summary:
* space-group type: P2_1/c (14)
* crystal system: monoclinic
* ΔE_f (raw): -3407 meV per atom


Below is a PBEsol-optimized structure of Li2Lu5B3O13, with properties calculated at the meta-GGA SCAN level.

```
Li2Lu5B3O13
1.0
3.442 0.000 0.000
0.000 9.948 0.013
0.000 -4.119 14.926
Li Lu B O
4 10 6 26
direct
0.250 0.387 0.947 Li
0.750 0.613 0.053 Li
0.250 0.744 0.243 Li
0.750 0.256 0.757 Li
0.250 0.855 0.998 Lu
0.750 0.145 0.002 Lu
0.250 0.361 0.436 Lu
0.750 0.639 0.564 Lu
0.250 0.478 0.696 Lu
0.750 0.522 0.304 Lu
0.250 0.188 0.206 Lu
0.750 0.812 0.794 Lu
0.250 0.964 0.631 Lu
0.750 0.036 0.369 Lu
0.250 0.789 0.425 B
0.750 0.211 0.575 B
0.250 0.094 0.818 B
0.750 0.906 0.182 B
0.250 0.589 0.888 B
0.750 0.411 0.112 B
0.250 0.456 0.835 O
0.750 0.544 0.165 O
0.250 0.156 0.749 O
0.750 0.844 0.251 O
0.250 0.513 0.567 O
0.750 0.487 0.433 O
0.250 0.706 0.852 O
0.750 0.294 0.148 O
0.250 0.767 0.509 O
0.750 0.233 0.491 O
0.250 0.621 0.981 O
0.750 0.379 0.019 O
0.250 0.151 0.344 O
0.750 0.849 0.656 O
0.250 0.079 0.064 O
0.750 0.921 0.936 O
0.250 0.169 0.907 O
0.750 0.831 0.093 O
0.250 0.949 0.792 O
0.750 0.051 0.208 O
0.250 0.391 0.296 O
0.750 0.609 0.704 O
0.250 0.924 0.415 O
0.750 0.076 0.585 O
0.250 0.677 0.348 O
0.750 0.323 0.652 O
```

Summary:
* space-group type: P2_1/m (11)
* crystal system: monoclinic
* ΔE_f (raw): -3425 meV per atom


Below is a PBEsol-optimized structure of Cu7PSe6, with properties calculated at the meta-GGA SCAN level.

```
Cu7PSe6
1.0
-2.511 8.768 -3.873
-8.965 -0.732 4.156
3.392 4.557 8.118
Cu P Se
28 4 24
direct
0.225 0.928 0.896 Cu
0.104 0.725 0.572 Cu
0.428 0.604 0.775 Cu
0.725 0.572 0.104 Cu
0.604 0.775 0.428 Cu
0.928 0.896 0.225 Cu
0.775 0.428 0.604 Cu
0.896 0.225 0.928 Cu
0.572 0.104 0.725 Cu
0.275 0.072 0.396 Cu
0.396 0.275 0.072 Cu
0.072 0.396 0.275 Cu
0.025 0.784 0.999 Cu
0.001 0.525 0.716 Cu
0.284 0.501 0.975 Cu
0.525 0.716 0.001 Cu
0.501 0.975 0.284 Cu
0.784 0.999 0.025 Cu
0.975 0.284 0.501 Cu
0.999 0.025 0.784 Cu
0.716 0.001 0.525 Cu
0.475 0.216 0.499 Cu
0.499 0.475 0.216 Cu
0.216 0.499 0.475 Cu
0.342 0.842 0.658 Cu
0.842 0.658 0.342 Cu
0.658 0.342 0.842 Cu
0.158 0.158 0.158 Cu
0.743 0.243 0.257 P
0.243 0.257 0.743 P
0.257 0.743 0.243 P
0.757 0.757 0.757 P
0.874 0.374 0.126 Se
0.374 0.126 0.874 Se
0.126 0.874 0.374 Se
0.626 0.626 0.626 Se
0.372 0.871 0.101 Se
0.899 0.872 0.629 Se
0.371 0.399 0.628 Se
0.872 0.629 0.899 Se
0.399 0.628 0.371 Se
0.871 0.101 0.372 Se
0.628 0.371 0.399 Se
0.101 0.372 0.871 Se
0.629 0.899 0.872 Se
0.128 0.129 0.601 Se
0.601 0.128 0.129 Se
0.129 0.601 0.128 Se
0.211 0.711 0.789 Se
0.711 0.789 0.211 Se
0.789 0.211 0.711 Se
0.289 0.289 0.289 Se
0.476 0.976 0.524 Se
0.976 0.524 0.476 Se
0.524 0.476 0.976 Se
0.024 0.024 0.024 Se
```

Summary:
* space-group type: P2_13 (198)
* crystal system: cubic
* ΔE_f (raw): -81 meV per atom


Below is a PBEsol-optimized structure of CuCF3, with properties calculated at the meta-GGA SCAN level.

```
CuCF3
1.0
-1.086 2.655 -2.548
-3.581 -0.151 1.369
0.847 2.766 2.521
C Cu F
1 1 3
direct
0.500 0.500 0.500 C
0.000 0.000 0.000 Cu
0.000 0.500 0.000 F
0.000 0.000 0.500 F
0.500 0.000 0.000 F
```

Summary:
* space-group type: Pm-3m (221)
* crystal system: cubic
* ΔE_f (raw): 130 meV per atom


Below is a PBEsol-optimized structure of Fe2SiPt, with properties calculated at the meta-GGA SCAN level.

```
Fe2SiPt
1.0
3.863 0.000 0.000
0.000 3.553 0.000
0.000 0.000 3.553
Fe Pt Si
2 1 1
direct
0.000 0.000 0.500 Fe
0.000 0.500 0.000 Fe
0.500 0.500 0.500 Pt
0.500 0.000 0.000 Si
```

Summary:
* space-group type: P4/mmm (123)
* crystal system: tetragonal
* ΔE_f (raw): -448 meV per atom